Record 1
# Er3Se2O

A relaxed structure of Er3Se2O (PBE-GGA, Alexandria).

Computed properties:
**E_form (uncorrected)**: -1.881 eV/atom
**Fermi-level density of states**: 0.720 states/eV/atom

Structure (CIF):
```
data_Er3Se2O
_cell_length_a 13.6598
_cell_length_b 7.6631
_cell_length_c 5.6156
_cell_angle_alpha 90.00
_cell_angle_beta 90.00
_cell_angle_gamma 90.00
_space_group_name_H-M_alt 'C m c 21'
_space_group_IT_number 36
_space_group_name_Hall 'C 2c -2'
loop_
_atom_site_label
_atom_site_type_symbol
_atom_site_fract_x
_atom_site_fract_y
_atom_site_fract_z
Er1 Er 0.0000 0.1095 0.0000
Er2 Er 0.1503 0.2645 0.4835
Se1 Se 0.1533 0.3593 0.9854
O1 O 0.0000 0.1747 0.4539
```



Record 2
# Sm2ErSe2O2

A relaxed structure of Sm2ErSe2O2 (PBE-GGA, Alexandria).

Computed properties:
**E_form (uncorrected)**: -2.370 eV/atom
**Fermi-level density of states**: 0.405 states/eV/atom

Structure (CIF):
```
data_Sm2ErSe2O2
_cell_length_a 4.2747
_cell_length_b 4.2747
_cell_length_c 15.4556
_cell_angle_alpha 90.00
_cell_angle_beta 90.00
_cell_angle_gamma 90.00
_space_group_name_H-M_alt 'I 4/m m m'
_space_group_IT_number 139
_space_group_name_Hall '-I 4 2'
loop_
_atom_site_label
_atom_site_type_symbol
_atom_site_fract_x
_atom_site_fract_y
_atom_site_fract_z
Sm1 Sm 0.0000 0.0000 0.1267
Er1 Er 0.0000 0.0000 0.5000
Se1 Se 0.0000 0.0000 0.3193
O1 O 0.0000 0.5000 0.0000
```



Record 3
# SmErSeO2

A relaxed structure of SmErSeO2 (PBE-GGA, Alexandria).

Computed properties:
**E_form (uncorrected)**: -3.086 eV/atom
**Fermi-level density of states**: 0.000 states/eV/atom

Structure (CIF):
```
data_SmErSeO2
_cell_length_a 6.5497
_cell_length_b 4.0465
_cell_length_c 7.6567
_cell_angle_alpha 90.00
_cell_angle_beta 107.94
_cell_angle_gamma 90.00
_space_group_name_H-M_alt 'P 1 21/m 1'
_space_group_IT_number 11
_space_group_name_Hall '-P 2yb'
loop_
_atom_site_label
_atom_site_type_symbol
_atom_site_fract_x
_atom_site_fract_y
_atom_site_fract_z
Sm1 Sm 0.1874 0.2500 0.4274
Er1 Er 0.1718 0.2500 0.9189
Se1 Se 0.4540 0.7500 0.7456
O1 O 0.0155 0.7500 0.8861
O2 O 0.0172 0.7500 0.3724
```



Record 4
# ErTl2Se2O6

A relaxed structure of ErTl2Se2O6 (PBE-GGA, Alexandria).

Computed properties:
**E_form (uncorrected)**: -1.334 eV/atom
**Fermi-level density of states**: 0.149 states/eV/atom

Structure (CIF):
```
data_ErTl2Se2O6
_cell_length_a 9.5909
_cell_length_b 5.8932
_cell_length_c 7.5133
_cell_angle_alpha 90.00
_cell_angle_beta 104.82
_cell_angle_gamma 90.00
_space_group_name_H-M_alt 'C 1 2/m 1'
_space_group_IT_number 12
_space_group_name_Hall '-C 2y'
loop_
_atom_site_label
_atom_site_type_symbol
_atom_site_fract_x
_atom_site_fract_y
_atom_site_fract_z
Er1 Er 0.0000 0.0000 0.0000
Tl1 Tl 0.2272 0.0000 0.6038
Se1 Se 0.1090 0.5000 0.7472
O1 O 0.0047 0.2733 0.7892
O2 O 0.2407 0.0000 0.0720
```



Record 5
# ErTl2SeO6

A relaxed structure of ErTl2SeO6 (PBE-GGA, Alexandria).

Computed properties:
**E_form (uncorrected)**: -1.191 eV/atom
**Fermi-level density of states**: 0.309 states/eV/atom

Structure (CIF):
```
data_ErTl2SeO6
_cell_length_a 6.0636
_cell_length_b 6.0636
_cell_length_c 5.7121
_cell_angle_alpha 90.00
_cell_angle_beta 90.00
_cell_angle_gamma 120.00
_space_group_name_H-M_alt 'P -3 m 1'
_space_group_IT_number 164
_space_group_name_Hall '-P 3 2"'
loop_
_atom_site_label
_atom_site_type_symbol
_atom_site_fract_x
_atom_site_fract_y
_atom_site_fract_z
Er1 Er 0.0000 0.0000 0.0000
Tl1 Tl 0.3333 0.6667 0.5846
Se1 Se 0.0000 0.0000 0.5000
O1 O 0.1402 0.2804 0.3051
```



Record 6
# ErTmSeO2

A relaxed structure of ErTmSeO2 (PBE-GGA, Alexandria).

Computed properties:
**E_form (uncorrected)**: -3.145 eV/atom
**Fermi-level density of states**: 0.000 states/eV/atom

Structure (CIF):
```
data_ErTmSeO2
_cell_length_a 6.3902
_cell_length_b 3.9682
_cell_length_c 7.4855
_cell_angle_alpha 90.00
_cell_angle_beta 106.96
_cell_angle_gamma 90.00
_space_group_name_H-M_alt 'P 1 21/m 1'
_space_group_IT_number 11
_space_group_name_Hall '-P 2yb'
loop_
_atom_site_label
_atom_site_type_symbol
_atom_site_fract_x
_atom_site_fract_y
_atom_site_fract_z
Er1 Er 0.1796 0.2500 0.4237
Tm1 Tm 0.1754 0.2500 0.9156
Se1 Se 0.4554 0.7500 0.7404
O1 O 0.0125 0.7500 0.8812
O2 O 0.0211 0.7500 0.3769
```



Record 7
# ErUSe2O

A relaxed structure of ErUSe2O (PBE-GGA, Alexandria).

Computed properties:
**E_form (uncorrected)**: -2.099 eV/atom
**Fermi-level density of states**: 1.728 states/eV/atom

Structure (CIF):
```
data_ErUSe2O
_cell_length_a 3.9426
_cell_length_b 3.9426
_cell_length_c 13.8915
_cell_angle_alpha 90.00
_cell_angle_beta 90.00
_cell_angle_gamma 90.00
_space_group_name_H-M_alt 'P 4/n m m'
_space_group_IT_number 129
loop_
_space_group_symop_operation_xyz
'x,y,z'
'-x,-y,-z'
'-y+1/2,x,z'
'y+1/2,-x,-z'
'-x+1/2,-y+1/2,z'
'x+1/2,y+1/2,-z'
'y,-x+1/2,z'
'-y,x+1/2,-z'
'x+1/2,-y,-z'
'-x+1/2,y,z'
'-y,-x,-z'
'y,x,z'
'-x,y+1/2,-z'
'x,-y+1/2,z'
'y+1/2,x+1/2,-z'
'-y+1/2,-x+1/2,z'
loop_
_atom_site_label
_atom_site_type_symbol
_atom_site_fract_x
_atom_site_fract_y
_atom_site_fract_z
Er1 Er 0.2500 0.2500 0.1022
U1 U 0.2500 0.2500 0.5908
Se1 Se 0.2500 0.2500 0.3074
Se2 Se 0.2500 0.2500 0.8919
O1 O 0.2500 0.7500 0.5000
```



Record 8
# YErSeO2

A relaxed structure of YErSeO2 (PBE-GGA, Alexandria).

Computed properties:
**E_form (uncorrected)**: -3.110 eV/atom
**Fermi-level density of states**: 0.000 states/eV/atom

Structure (CIF):
```
data_YErSeO2
_cell_length_a 6.4490
_cell_length_b 4.0056
_cell_length_c 7.5624
_cell_angle_alpha 90.00
_cell_angle_beta 107.17
_cell_angle_gamma 90.00
_space_group_name_H-M_alt 'P 1 21/m 1'
_space_group_IT_number 11
_space_group_name_Hall '-P 2yb'
loop_
_atom_site_label
_atom_site_type_symbol
_atom_site_fract_x
_atom_site_fract_y
_atom_site_fract_z
Y1 Y 0.1820 0.2500 0.4249
Er1 Er 0.1748 0.2500 0.9164
Se1 Se 0.4550 0.7500 0.7409
O1 O 0.0136 0.7500 0.8827
O2 O 0.0205 0.7500 0.3755
```



- Fermi-level density of states of number 3 (SmErSeO2)?
  0.000 states/eV/atom



- Which formula does entry 3 have?
  SmErSeO2



- Number 4 is which compound?
  ErTl2Se2O6



- Look up the E_form (uncorrected) of the first one.
  -1.881 eV/atom